# La2Sn3Rh4, relaxed, DFT PBE
# Calculated formation energy ... -7.078 eV/f.u.
# Space group ... Cmce, No. 64
# V ... 21.0 Å³/atom
data_La2Sn3Rh4
_chemical_formula_sum 'La4 Sn6 Rh8'
_cell_length_a 6.162
_cell_length_b 7.326
_cell_length_c 8.905
_cell_angle_alpha 90.00
_cell_angle_beta 110.24
_cell_angle_gamma 90.00
_space_group_name_H-M_alt 'P 1'
_space_group_IT_number 1
_space_group_name_Hall 'P 1'
loop_
_atom_site_label
_atom_site_fract_x
_atom_site_fract_y
_atom_site_fract_z
_atom_site_occupancy
La1 0.104 0.575 0.208 1
La2 0.896 0.425 0.792 1
La3 0.396 0.075 0.792 1
La4 0.604 0.925 0.208 1
Sn1 0.000 0.000 0.000 1
Sn2 0.500 0.500 0.000 1
Sn3 0.515 0.750 0.529 1
Sn4 0.985 0.250 0.471 1
Sn5 0.485 0.250 0.471 1
Sn6 0.015 0.750 0.529 1
Rh1 0.676 0.750 0.852 1
Rh2 0.824 0.250 0.148 1
Rh3 0.324 0.250 0.148 1
Rh4 0.176 0.750 0.852 1
Rh5 0.171 0.975 0.341 1
Rh6 0.829 0.025 0.659 1
Rh7 0.329 0.475 0.659 1
Rh8 0.671 0.525 0.341 1